No. 1
PrPuGe: optimized geometry, PBE-GGA.

Output
Spin magnetization: 27.00 Bohr magnetons per cell
DFT total energy: -8.13 eV/atom

Cell: 6.9723 6.9723 6.9723 Å, 90.00 90.00 90.00°
With the nearest neighbours (Å) after each atom.
Space group F-43m (No. 216)
Unique sites:
Pr: 0.0000 0.0000 0.0000 (multiplicity 4)  4 Ge 3.02
Pu: 0.0000 0.0000 0.5000 (multiplicity 4)  4 Ge 3.02
Ge: 0.2500 0.2500 0.2500 (multiplicity 4)  4 Pr 3.02, 4 Pu 3.02

***

No. 2
RbPrGeTe3: optimized geometry, PBE-GGA.

Output
Spin magnetization: 0.00 Bohr magnetons per cell
DFT total energy: -4.18 eV/atom

Cell: 4.8244 15.9098 12.3467 Å, 90.00 90.00 90.00°
With the nearest neighbours (Å) after each atom.
Space group Cmcm (No. 63)
Unique sites:
Rb: 0.0000 0.2493 0.2500 (multiplicity 4)  8 Te 3.81-4.21, 2 Ge 4.18
Pr: 0.0000 0.0000 0.0000 (multiplicity 4)  6 Te 3.26
Ge: 0.0000 0.4654 0.7500 (multiplicity 4)  4 Te 2.86-2.89
Te: 0.0000 0.0654 0.7500 (multiplicity 4)  2 Ge 2.89
Te: 0.0000 0.3690 0.5544 (multiplicity 8)  1 Ge 2.86

***

No. 3
RbPrGeTe3: optimized geometry, PBE-GGA.

Output
Spin magnetization: 0.01 Bohr magnetons per cell
DFT total energy: -4.18 eV/atom

Cell: 12.3242 4.8479 15.9328 Å, 90.00 90.00 90.00°
With the nearest neighbours (Å) after each atom.
Space group Pnma (No. 62)
Unique sites:
Rb: 0.2258 0.2500 0.0029 (multiplicity 4)  7 Te 3.85-3.92, 2 Ge 4.22
Pr: 0.0161 0.7500 0.7395 (multiplicity 4)  6 Te 3.24-3.30
Ge: 0.2376 0.7500 0.2195 (multiplicity 4)  4 Te 2.84-2.89
Te: 0.0384 0.7500 0.1304 (multiplicity 4)  1 Ge 2.84
Te: 0.0758 0.2500 0.6112 (multiplicity 4)  1 Ge 2.87
Te: 0.2360 0.2500 0.3178 (multiplicity 4)  2 Ge 2.89

***

No. 4
PrReGe: optimized geometry, PBE-GGA.

Output
Spin magnetization: 0.02 Bohr magnetons per cell
DFT total energy: -6.84 eV/atom

Cell: 6.4898 6.4898 6.4898 Å, 90.00 90.00 90.00°
With the nearest neighbours (Å) after each atom.
Space group F-43m (No. 216)
Unique sites:
Pr: 0.0000 0.0000 0.0000 (multiplicity 4)  4 Ge 2.81
Re: 0.0000 0.0000 0.5000 (multiplicity 4)  4 Ge 2.81
Ge: 0.2500 0.2500 0.2500 (multiplicity 4)  4 Pr 2.81, 4 Re 2.81

***

No. 5
Pr4Ge3S12: optimized geometry, PBE-GGA.

Output
Spin magnetization: 0.00 Bohr magnetons per cell
DFT total energy: -5.59 eV/atom

Cell: 19.5217 19.5217 8.0501 Å, 90.00 90.00 120.00°
With the nearest neighbours (Å) after each atom.
Space group R3c (No. 161, hexagonal axes)
Unique sites:
Pr: 0.0000 0.0000 0.0000 (multiplicity 6)  6 S 2.90
Pr: 0.1048 0.4334 0.4563 (multiplicity 18)  7 S 2.88-3.08
Ge: 0.0124 0.1993 0.3421 (multiplicity 18)  4 S 2.22-2.27
S: 0.0045 0.2744 0.1421 (multiplicity 18)  1 Ge 2.23
S: 0.0455 0.4866 0.1708 (multiplicity 18)  1 Ge 2.22
S: 0.0610 0.1238 0.7500 (multiplicity 18)  1 Ge 2.27
S: 0.2012 0.0874 0.4993 (multiplicity 18)  1 Ge 2.22

***

No. 6
PrScGe2: optimized geometry, PBE-GGA.

Output
Spin magnetization: 0.19 Bohr magnetons per cell
DFT total energy: -5.00 eV/atom

Cell: 3.2130 5.8259 11.2590 Å, 90.00 90.00 90.00°
With the nearest neighbours (Å) after each atom.
Space group Amm2 (No. 38)
Unique sites:
Pr: 0.0000 0.0000 0.0000 (multiplicity 2)  3 Ge 2.92-2.93, 2 Pr 3.21
Sc: 0.0000 0.0000 0.2925 (multiplicity 2)  1 Ge 2.61
Ge: 0.0000 0.0000 0.5244 (multiplicity 2)  1 Ge 2.44, 1 Sc 2.61
Ge: 0.0000 0.0000 0.7411 (multiplicity 2)  1 Ge 2.44